# CsTlHg2Ir, relaxed, DFT PBE
data_CsTlHg2Ir
_symmetry_space_group_name_H-M 'P 1'
_symmetry_Int_Tables_number 1
_cell_length_a 6.578
_cell_length_b 6.578
_cell_length_c 5.325
_cell_angle_alpha 90.00
_cell_angle_beta 90.00
_cell_angle_gamma 90.00
loop_
_symmetry_equiv_pos_as_xyz
'x,y,z'
loop_
_atom_site_label
_atom_site_fract_x
_atom_site_fract_y
_atom_site_fract_z
Cs1 0.000 0.000 0.000
Tl1 0.500 0.500 0.500
Hg1 0.000 0.500 0.000
Hg2 0.500 0.000 0.000
Ir1 0.000 0.000 0.500
# Calculated formation energy: 1.143 eV/atom
# Crystal system: tetragonal
# Distance to the lowest polymorph of the same formula: 1.222 eV/atom

# CsTlHg2Ir, relaxed, DFT PBE
data_CsTlHg2Ir
_symmetry_space_group_name_H-M 'P 1'
_symmetry_Int_Tables_number 1
_cell_length_a 5.471
_cell_length_b 5.471
_cell_length_c 5.300
_cell_angle_alpha 90.00
_cell_angle_beta 90.00
_cell_angle_gamma 90.00
loop_
_symmetry_equiv_pos_as_xyz
'x,y,z'
loop_
_atom_site_label
_atom_site_fract_x
_atom_site_fract_y
_atom_site_fract_z
Cs1 0.000 0.000 0.000
Tl1 0.500 0.500 0.000
Hg1 0.000 0.500 0.500
Hg2 0.500 0.000 0.500
Ir1 0.500 0.500 0.500
# Calculated formation energy: -0.079 eV/atom
# Crystal system: tetragonal
# Distance to the lowest polymorph of the same formula: 0.000 eV/atom

Number 1: M_tot 0.058 μB/atom, volume 230.4 Å³/f.u.. Number 2: M_tot 0.000 μB/atom, volume 158.6 Å³/f.u..